# Na2MnAsCO7 (PBE+U, optimized geometry)
data_Na2MnAsCO7
_symmetry_space_group_name_H-M 'P 1'
_symmetry_Int_Tables_number 1
_cell_length_a 6.775
_cell_length_b 5.402
_cell_length_c 9.204
_cell_angle_alpha 88.55
_cell_angle_beta 90.00
_cell_angle_gamma 90.00
loop_
_symmetry_equiv_pos_as_xyz
'x,y,z'
loop_
_atom_site_label
_atom_site_fract_x
_atom_site_fract_y
_atom_site_fract_z
O1 0.750 0.721 0.940
O2 0.250 0.279 0.060
O3 0.250 0.381 0.454
O4 0.750 0.619 0.546
O5 0.750 0.162 0.405
O6 0.750 0.922 0.151
O7 0.048 0.786 0.325
O8 0.548 0.214 0.675
O9 0.452 0.786 0.325
O10 0.250 0.838 0.595
O11 0.952 0.214 0.675
O12 0.750 0.514 0.159
O13 0.250 0.486 0.841
O14 0.250 0.078 0.849
Na1 0.501 0.224 0.221
Na2 0.001 0.776 0.779
Na3 0.999 0.224 0.221
Na4 0.499 0.776 0.779
Mn1 0.250 0.224 0.648
Mn2 0.750 0.776 0.352
As1 0.250 0.704 0.428
As2 0.750 0.296 0.572
C1 0.750 0.713 0.077
C2 0.250 0.287 0.923
# Total DFT energy (no corrections) in hartree per atom: -0.2380
# SG: P2_1/m